No. 1
The following is a PBE calculation of a geometry-optimized NaGdPb2 structure, from Alexandria.

Cell and atoms, written as CIF:
```
data_NaGdPb2
_cell_length_a 5.460
_cell_length_b 5.460
_cell_length_c 5.460
_cell_angle_alpha 60.00
_cell_angle_beta 60.00
_cell_angle_gamma 60.00
_symmetry_space_group_name_H-M 'P 1'
_symmetry_Int_Tables_number 1
loop_
_symmetry_equiv_pos_as_xyz
'x,y,z'
loop_
_atom_site_label
_atom_site_type_symbol
_atom_site_fract_x
_atom_site_fract_y
_atom_site_fract_z
Na1 Na 0.000 0.000 0.000
Gd1 Gd 0.500 0.500 0.500
Pb1 Pb 0.250 0.250 0.250
Pb2 Pb 0.750 0.750 0.750
```

Summary:
Space-group type   No. 225

No. 2
The following is a PBE calculation of a geometry-optimized NaGdPb2 structure, from Alexandria.

Cell and atoms, written as CIF:
```
data_NaGdPb2
_cell_length_a 3.508
_cell_length_b 3.508
_cell_length_c 9.494
_cell_angle_alpha 90.00
_cell_angle_beta 90.00
_cell_angle_gamma 90.00
_symmetry_space_group_name_H-M 'P 1'
_symmetry_Int_Tables_number 1
loop_
_symmetry_equiv_pos_as_xyz
'x,y,z'
loop_
_atom_site_label
_atom_site_type_symbol
_atom_site_fract_x
_atom_site_fract_y
_atom_site_fract_z
Na1 Na 0.000 0.000 0.000
Gd1 Gd 0.000 0.000 0.500
Pb1 Pb 0.500 0.500 0.254
Pb2 Pb 0.500 0.500 0.746
```

Summary:
Space-group type   No. 123

No. 3
The following is a PBE calculation of a geometry-optimized NaGdPtPb structure, from Alexandria.

Cell and atoms, written as CIF:
```
data_NaGdPtPb
_cell_length_a 4.974
_cell_length_b 4.974
_cell_length_c 4.974
_cell_angle_alpha 60.00
_cell_angle_beta 60.00
_cell_angle_gamma 60.00
_symmetry_space_group_name_H-M 'P 1'
_symmetry_Int_Tables_number 1
loop_
_symmetry_equiv_pos_as_xyz
'x,y,z'
loop_
_atom_site_label
_atom_site_type_symbol
_atom_site_fract_x
_atom_site_fract_y
_atom_site_fract_z
Na1 Na 0.000 0.000 0.000
Gd1 Gd 0.250 0.250 0.250
Pt1 Pt 0.500 0.500 0.500
Pb1 Pb 0.750 0.750 0.750
```

Summary:
Space-group type   No. 216

No. 4
The following is a PBE calculation of a geometry-optimized NaGdRhPb structure, from Alexandria.

Cell and atoms, written as CIF:
```
data_NaGdRhPb
_cell_length_a 4.958
_cell_length_b 4.958
_cell_length_c 4.958
_cell_angle_alpha 60.00
_cell_angle_beta 60.00
_cell_angle_gamma 60.00
_symmetry_space_group_name_H-M 'P 1'
_symmetry_Int_Tables_number 1
loop_
_symmetry_equiv_pos_as_xyz
'x,y,z'
loop_
_atom_site_label
_atom_site_type_symbol
_atom_site_fract_x
_atom_site_fract_y
_atom_site_fract_z
Na1 Na 0.000 0.000 0.000
Gd1 Gd 0.250 0.250 0.250
Rh1 Rh 0.500 0.500 0.500
Pb1 Pb 0.750 0.750 0.750
```

Summary:
Space-group type   No. 216

No. 5
The following is a PBE calculation of a geometry-optimized NaSrGdPb structure, from Alexandria.

Cell and atoms, written as CIF:
```
data_NaSrGdPb
_cell_length_a 5.685
_cell_length_b 5.685
_cell_length_c 5.685
_cell_angle_alpha 60.00
_cell_angle_beta 60.00
_cell_angle_gamma 60.00
_symmetry_space_group_name_H-M 'P 1'
_symmetry_Int_Tables_number 1
loop_
_symmetry_equiv_pos_as_xyz
'x,y,z'
loop_
_atom_site_label
_atom_site_type_symbol
_atom_site_fract_x
_atom_site_fract_y
_atom_site_fract_z
Na1 Na 0.000 0.000 0.000
Sr1 Sr 0.250 0.250 0.250
Gd1 Gd 0.750 0.750 0.750
Pb1 Pb 0.500 0.500 0.500
```

Summary:
Space-group type   No. 216

No. 6
The following is a PBE calculation of a geometry-optimized NaGdZnPb structure, from Alexandria.

Cell and atoms, written as CIF:
```
data_NaGdZnPb
_cell_length_a 5.255
_cell_length_b 5.255
_cell_length_c 5.255
_cell_angle_alpha 60.00
_cell_angle_beta 60.00
_cell_angle_gamma 60.00
_symmetry_space_group_name_H-M 'P 1'
_symmetry_Int_Tables_number 1
loop_
_symmetry_equiv_pos_as_xyz
'x,y,z'
loop_
_atom_site_label
_atom_site_type_symbol
_atom_site_fract_x
_atom_site_fract_y
_atom_site_fract_z
Na1 Na 0.000 0.000 0.000
Gd1 Gd 0.500 0.500 0.500
Zn1 Zn 0.750 0.750 0.750
Pb1 Pb 0.250 0.250 0.250
```

Summary:
Space-group type   No. 216

No. 7
The following is a PBE calculation of a geometry-optimized NaGdPd4 structure, from Alexandria.

Cell and atoms, written as CIF:
```
data_NaGdPd4
_cell_length_a 5.409
_cell_length_b 5.409
_cell_length_c 5.409
_cell_angle_alpha 60.00
_cell_angle_beta 60.00
_cell_angle_gamma 60.00
_symmetry_space_group_name_H-M 'P 1'
_symmetry_Int_Tables_number 1
loop_
_symmetry_equiv_pos_as_xyz
'x,y,z'
loop_
_atom_site_label
_atom_site_type_symbol
_atom_site_fract_x
_atom_site_fract_y
_atom_site_fract_z
Na1 Na 0.000 0.000 0.000
Gd1 Gd 0.250 0.250 0.250
Pd1 Pd 0.125 0.625 0.625
Pd2 Pd 0.625 0.125 0.625
Pd3 Pd 0.625 0.625 0.125
Pd4 Pd 0.625 0.625 0.625
```

Summary:
Space-group type   No. 216

No. 8
The following is a PBE calculation of a geometry-optimized NaGdPd2 structure, from Alexandria.

Cell and atoms, written as CIF:
```
data_NaGdPd2
_cell_length_a 3.600
_cell_length_b 3.600
_cell_length_c 6.375
_cell_angle_alpha 90.00
_cell_angle_beta 90.00
_cell_angle_gamma 90.00
_symmetry_space_group_name_H-M 'P 1'
_symmetry_Int_Tables_number 1
loop_
_symmetry_equiv_pos_as_xyz
'x,y,z'
loop_
_atom_site_label
_atom_site_type_symbol
_atom_site_fract_x
_atom_site_fract_y
_atom_site_fract_z
Na1 Na 0.000 0.000 0.000
Gd1 Gd 0.000 0.000 0.500
Pd1 Pd 0.500 0.500 0.258
Pd2 Pd 0.500 0.500 0.742
```

Summary:
Space-group type   No. 123

No. 9
The following is a PBE calculation of a geometry-optimized NaGdPdPt structure, from Alexandria.

Cell and atoms, written as CIF:
```
data_NaGdPdPt
_cell_length_a 4.854
_cell_length_b 4.854
_cell_length_c 4.854
_cell_angle_alpha 60.00
_cell_angle_beta 60.00
_cell_angle_gamma 60.00
_symmetry_space_group_name_H-M 'P 1'
_symmetry_Int_Tables_number 1
loop_
_symmetry_equiv_pos_as_xyz
'x,y,z'
loop_
_atom_site_label
_atom_site_type_symbol
_atom_site_fract_x
_atom_site_fract_y
_atom_site_fract_z
Na1 Na 0.000 0.000 0.000
Gd1 Gd 0.500 0.500 0.500
Pd1 Pd 0.750 0.750 0.750
Pt1 Pt 0.250 0.250 0.250
```

Summary:
Space-group type   No. 216

No. 10
The following is a PBE calculation of a geometry-optimized NaGdSnPd structure, from Alexandria.

Cell and atoms, written as CIF:
```
data_NaGdSnPd
_cell_length_a 4.929
_cell_length_b 4.929
_cell_length_c 4.929
_cell_angle_alpha 60.00
_cell_angle_beta 60.00
_cell_angle_gamma 60.00
_symmetry_space_group_name_H-M 'P 1'
_symmetry_Int_Tables_number 1
loop_
_symmetry_equiv_pos_as_xyz
'x,y,z'
loop_
_atom_site_label
_atom_site_type_symbol
_atom_site_fract_x
_atom_site_fract_y
_atom_site_fract_z
Na1 Na 0.000 0.000 0.000
Gd1 Gd 0.250 0.250 0.250
Sn1 Sn 0.750 0.750 0.750
Pd1 Pd 0.500 0.500 0.500
```

Summary:
Space-group type   No. 216

No. 11
The following is a PBE calculation of a geometry-optimized NaGdTlPd structure, from Alexandria.

Cell and atoms, written as CIF:
```
data_NaGdTlPd
_cell_length_a 5.118
_cell_length_b 5.118
_cell_length_c 5.118
_cell_angle_alpha 60.00
_cell_angle_beta 60.00
_cell_angle_gamma 60.00
_symmetry_space_group_name_H-M 'P 1'
_symmetry_Int_Tables_number 1
loop_
_symmetry_equiv_pos_as_xyz
'x,y,z'
loop_
_atom_site_label
_atom_site_type_symbol
_atom_site_fract_x
_atom_site_fract_y
_atom_site_fract_z
Na1 Na 0.000 0.000 0.000
Gd1 Gd 0.500 0.500 0.500
Tl1 Tl 0.250 0.250 0.250
Pd1 Pd 0.750 0.750 0.750
```

Summary:
Space-group type   No. 216

No. 12
The following is a PBE calculation of a geometry-optimized NaPmGd2 structure, from Alexandria.

Cell and atoms, written as CIF:
```
data_NaPmGd2
_cell_length_a 5.075
_cell_length_b 5.075
_cell_length_c 5.156
_cell_angle_alpha 90.00
_cell_angle_beta 90.00
_cell_angle_gamma 90.00
_symmetry_space_group_name_H-M 'P 1'
_symmetry_Int_Tables_number 1
loop_
_symmetry_equiv_pos_as_xyz
'x,y,z'
loop_
_atom_site_label
_atom_site_type_symbol
_atom_site_fract_x
_atom_site_fract_y
_atom_site_fract_z
Na1 Na 0.000 0.000 0.000
Pm1 Pm 0.500 0.500 0.000
Gd1 Gd 0.000 0.500 0.500
Gd2 Gd 0.500 0.000 0.500
```

Summary:
Space-group type   No. 123

No. 13
The following is a PBE calculation of a geometry-optimized NaPmGd2 structure, from Alexandria.

Cell and atoms, written as CIF:
```
data_NaPmGd2
_cell_length_a 12.926
_cell_length_b 12.926
_cell_length_c 12.926
_cell_angle_alpha 15.79
_cell_angle_beta 15.79
_cell_angle_gamma 15.79
_symmetry_space_group_name_H-M 'P 1'
_symmetry_Int_Tables_number 1
loop_
_symmetry_equiv_pos_as_xyz
'x,y,z'
loop_
_atom_site_label
_atom_site_type_symbol
_atom_site_fract_x
_atom_site_fract_y
_atom_site_fract_z
Na1 Na 0.000 0.000 0.000
Pm1 Pm 0.500 0.500 0.500
Gd1 Gd 0.092 0.092 0.092
Gd2 Gd 0.908 0.908 0.908
```

Summary:
Space-group type   No. 166

No. 14
The following is a PBE calculation of a geometry-optimized NaPmGd2 structure, from Alexandria.

Cell and atoms, written as CIF:
```
data_NaPmGd2
_cell_length_a 3.556
_cell_length_b 3.556
_cell_length_c 10.734
_cell_angle_alpha 90.00
_cell_angle_beta 90.00
_cell_angle_gamma 90.00
_symmetry_space_group_name_H-M 'P 1'
_symmetry_Int_Tables_number 1
loop_
_symmetry_equiv_pos_as_xyz
'x,y,z'
loop_
_atom_site_label
_atom_site_type_symbol
_atom_site_fract_x
_atom_site_fract_y
_atom_site_fract_z
Na1 Na 0.000 0.000 0.000
Pm1 Pm 0.000 0.000 0.500
Gd1 Gd 0.500 0.500 0.267
Gd2 Gd 0.500 0.500 0.733
```

Summary:
Space-group type   No. 123

No. 15
The following is a PBE calculation of a geometry-optimized NaPmGdRu structure, from Alexandria.

Cell and atoms, written as CIF:
```
data_NaPmGdRu
_cell_length_a 5.122
_cell_length_b 5.122
_cell_length_c 5.122
_cell_angle_alpha 60.00
_cell_angle_beta 60.00
_cell_angle_gamma 60.00
_symmetry_space_group_name_H-M 'P 1'
_symmetry_Int_Tables_number 1
loop_
_symmetry_equiv_pos_as_xyz
'x,y,z'
loop_
_atom_site_label
_atom_site_type_symbol
_atom_site_fract_x
_atom_site_fract_y
_atom_site_fract_z
Na1 Na 0.000 0.000 0.000
Pm1 Pm 0.250 0.250 0.250
Gd1 Gd 0.750 0.750 0.750
Ru1 Ru 0.500 0.500 0.500
```

Summary:
Space-group type   No. 216

No. 16
The following is a PBE calculation of a geometry-optimized NaPmGdTl structure, from Alexandria.

Cell and atoms, written as CIF:
```
data_NaPmGdTl
_cell_length_a 5.489
_cell_length_b 5.489
_cell_length_c 5.489
_cell_angle_alpha 60.00
_cell_angle_beta 60.00
_cell_angle_gamma 60.00
_symmetry_space_group_name_H-M 'P 1'
_symmetry_Int_Tables_number 1
loop_
_symmetry_equiv_pos_as_xyz
'x,y,z'
loop_
_atom_site_label
_atom_site_type_symbol
_atom_site_fract_x
_atom_site_fract_y
_atom_site_fract_z
Na1 Na 0.000 0.000 0.000
Pm1 Pm 0.750 0.750 0.750
Gd1 Gd 0.250 0.250 0.250
Tl1 Tl 0.500 0.500 0.500
```

Summary:
Space-group type   No. 216

No. 17
The following is a PBE calculation of a geometry-optimized NaPrGd2 structure, from Alexandria.

Cell and atoms, written as CIF:
```
data_NaPrGd2
_cell_length_a 5.076
_cell_length_b 5.076
_cell_length_c 5.223
_cell_angle_alpha 90.00
_cell_angle_beta 90.00
_cell_angle_gamma 90.00
_symmetry_space_group_name_H-M 'P 1'
_symmetry_Int_Tables_number 1
loop_
_symmetry_equiv_pos_as_xyz
'x,y,z'
loop_
_atom_site_label
_atom_site_type_symbol
_atom_site_fract_x
_atom_site_fract_y
_atom_site_fract_z
Na1 Na 0.000 0.000 0.000
Pr1 Pr 0.500 0.500 0.000
Gd1 Gd 0.000 0.500 0.500
Gd2 Gd 0.500 0.000 0.500
```

Summary:
Space-group type   No. 123

No. 18
The following is a PBE calculation of a geometry-optimized NaPrGd2 structure, from Alexandria.

Cell and atoms, written as CIF:
```
data_NaPrGd2
_cell_length_a 12.991
_cell_length_b 12.991
_cell_length_c 12.991
_cell_angle_alpha 15.80
_cell_angle_beta 15.80
_cell_angle_gamma 15.80
_symmetry_space_group_name_H-M 'P 1'
_symmetry_Int_Tables_number 1
loop_
_symmetry_equiv_pos_as_xyz
'x,y,z'
loop_
_atom_site_label
_atom_site_type_symbol
_atom_site_fract_x
_atom_site_fract_y
_atom_site_fract_z
Na1 Na 0.000 0.000 0.000
Pr1 Pr 0.500 0.500 0.500
Gd1 Gd 0.091 0.091 0.091
Gd2 Gd 0.909 0.909 0.909
```

Summary:
Space-group type   No. 166

No. 19
The following is a PBE calculation of a geometry-optimized NaPr2Gd structure, from Alexandria.

Cell and atoms, written as CIF:
```
data_NaPr2Gd
_cell_length_a 3.580
_cell_length_b 3.580
_cell_length_c 11.004
_cell_angle_alpha 90.00
_cell_angle_beta 90.00
_cell_angle_gamma 90.00
_symmetry_space_group_name_H-M 'P 1'
_symmetry_Int_Tables_number 1
loop_
_symmetry_equiv_pos_as_xyz
'x,y,z'
loop_
_atom_site_label
_atom_site_type_symbol
_atom_site_fract_x
_atom_site_fract_y
_atom_site_fract_z
Na1 Na 0.000 0.000 0.000
Pr1 Pr 0.500 0.500 0.266
Pr2 Pr 0.500 0.500 0.734
Gd1 Gd 0.000 0.000 0.500
```

Summary:
Space-group type   No. 123

No. 20
The following is a PBE calculation of a geometry-optimized NaPr2Gd structure, from Alexandria.

Cell and atoms, written as CIF:
```
data_NaPr2Gd
_cell_length_a 13.147
_cell_length_b 13.147
_cell_length_c 13.147
_cell_angle_alpha 15.71
_cell_angle_beta 15.71
_cell_angle_gamma 15.71
_symmetry_space_group_name_H-M 'P 1'
_symmetry_Int_Tables_number 1
loop_
_symmetry_equiv_pos_as_xyz
'x,y,z'
loop_
_atom_site_label
_atom_site_type_symbol
_atom_site_fract_x
_atom_site_fract_y
_atom_site_fract_z
Na1 Na 0.000 0.000 0.000
Pr1 Pr 0.092 0.092 0.092
Pr2 Pr 0.908 0.908 0.908
Gd1 Gd 0.500 0.500 0.500
```

Summary:
Space-group type   No. 166

Number 1: Fermi-level density of states 2.8 states/eV/f.u., uncorrected energy -5.99 eV per atom. Number 2: Fermi-level density of states 2.7 states/eV/f.u., uncorrected energy -6.04 eV per atom. Number 3: Fermi-level density of states 0.9 states/eV/f.u., uncorrected energy -6.83 eV per atom. Number 4: Fermi-level density of states 4.3 states/eV/f.u., uncorrected energy -6.92 eV per atom. Number 5: Fermi-level density of states 5.4 states/eV/f.u., uncorrected energy -5.41 eV per atom. Number 6: Fermi-level density of states 2.4 states/eV/f.u., uncorrected energy -5.34 eV per atom. Number 7: Fermi-level density of states 4.8 states/eV/f.u., uncorrected energy -6.59 eV per atom. Number 8: Fermi-level density of states 1.1 states/eV/f.u., uncorrected energy -6.96 eV per atom. Number 9: Fermi-level density of states 0.4 states/eV/f.u., uncorrected energy -7.29 eV per atom. Number 10: Fermi-level density of states 0.1 states/eV/f.u., uncorrected energy -6.71 eV per atom. Number 11: Fermi-level density of states 4.0 states/eV/f.u., uncorrected energy -6.02 eV per atom. Number 12: Fermi-level density of states 7.7 states/eV/f.u., uncorrected energy -8.30 eV per atom. Number 13: Fermi-level density of states 5.3 states/eV/f.u., uncorrected energy -8.41 eV per atom. Number 14: Fermi-level density of states 6.1 states/eV/f.u., uncorrected energy -8.44 eV per atom. Number 15: Fermi-level density of states 3.1 states/eV/f.u., uncorrected energy -7.32 eV per atom. Number 16: Fermi-level density of states 3.9 states/eV/f.u., uncorrected energy -5.72 eV per atom. Number 17: Fermi-level density of states 8.2 states/eV/f.u., uncorrected energy -8.32 eV per atom. Number 18: Fermi-level density of states 5.3 states/eV/f.u., uncorrected energy -8.41 eV per atom. Number 19: Fermi-level density of states 4.3 states/eV/f.u., uncorrected energy -6.14 eV per atom. Number 20: Fermi-level density of states 5.5 states/eV/f.u., uncorrected energy -6.11 eV per atom.